VASP calculation (PBE) on a geometry-optimized Au2Cl2O structure.

* E_form (uncorrected): 711.4 meV/atom
* space-group type: I4/mmm, No. 139
* raw total energy: -11.6 eV for the cell shown

The structure in POSCAR format:
```
Au2Cl2O
1.0
3.982 0.000 0.000
0.000 3.982 0.000
1.991 1.991 7.122
Au O Cl
2 1 2
direct
0.750 0.250 0.500
0.250 0.750 0.500
0.000 0.000 0.000
0.384 0.384 0.232
0.616 0.616 0.768
```